Density functional theory data (PBE-GGA) for a relaxed structure of CePa2Cl8.

## Properties
**Total moment**: 6.01 μB per cell
**SG**: C2/m (12)
**E_tot**: -58.10 eV per cell

abc: 7.935 7.935 7.668
angles: 112.00 112.00 58.14
Atoms (fractional coordinates):
1 Ce 0.000 0.000 0.000
2 Pa 0.113 0.113 0.543
3 Pa 0.887 0.887 0.457
4 Cl 0.200 0.729 0.256
5 Cl 0.212 0.212 0.298
6 Cl 0.271 0.800 0.744
7 Cl 0.300 0.300 0.828
8 Cl 0.700 0.700 0.172
9 Cl 0.729 0.200 0.256
10 Cl 0.788 0.788 0.702
11 Cl 0.800 0.271 0.744